# 1
ZrMn2Ag: single point on PBEsol structure, SCAN.

Structure (POSCAR):
```
ZrMn2Ag
1.0
3.6613 0.0000 0.0000
0.0000 4.0877 0.0000
0.0000 0.0000 4.0877
Mn Ag Zr
2 1 1
Cartesian
0.0000 0.0000 2.0438
0.0000 2.0438 0.0000
1.8307 0.0000 0.0000
1.8307 2.0438 2.0438
```

The value obtained for the total magnetic moment is 1.2305 μB/atom. The value obtained for the density of states at the Fermi level is 0.647 states/eV/atom. Its space group is P4/mmm, No. 123. The value obtained for the energy of formation from the pure elements is -0.01 eV/atom. The value obtained for the energy above the most stable polymorph in this dataset is 0.0 meV/atom. The value obtained for the total energy is -24.656 eV/atom.


# 2
Ni2ClO: single point on PBEsol structure, SCAN.

Structure (POSCAR):
```
Ni2ClO
1.0
-1.4373 -2.8029 2.2617
-0.6285 -3.5375 -1.4590
2.2509 -2.9689 1.0754
Cl Ni O
1 2 1
Cartesian
0.0926 -4.6547 0.9391
0.0463 -2.3273 0.4695
0.1388 -6.9820 1.4086
0.0000 0.0000 0.0000
```

The value obtained for the total magnetic moment is 0.7500 μB/atom. The value obtained for the density of states at the Fermi level is 0.864 states/eV/atom. The calculation puts the uncorrected formation energy at 5.29 kcal/mol of atoms. Its space group is Fm-3m, No. 225. The value obtained for the total energy is -11.410 eV/atom.


# 3
InAsBr2: single point on PBEsol structure, SCAN.

Structure (POSCAR):
```
InAsBr2
1.0
3.4912 0.0000 0.0000
0.0000 3.4912 0.0000
0.0000 0.0000 8.0205
In As Br
1 1 2
Cartesian
0.0000 0.0000 4.1490
1.7456 1.7456 5.9350
0.0000 0.0000 7.5494
1.7456 1.7456 2.4178
```

The value obtained for the total magnetic moment is 0.0000 μB/atom. The value obtained for the density of states at the Fermi level is 0.569 states/eV/atom. The calculation puts the uncorrected formation energy at -0.46 kcal/mol of atoms. Its space group is P4mm, No. 99. The value obtained for the energy above the most stable polymorph in this dataset is 323.9 meV/atom. The value obtained for the total energy is -23.144 eV/atom.


# 4
MnInAu2: single point on PBEsol structure, SCAN.

Structure (POSCAR):
```
MnInAu2
1.0
-2.0933 -1.3686 -2.1045
-1.7248 -1.2110 2.5031
-3.6321 5.3956 0.1076
In Au Mn
1 2 1
Cartesian
-1.9091 -1.2898 0.1993
-2.6277 3.9010 0.0767
-3.0978 0.1260 -2.0736
-3.7251 1.4080 0.2531
```

The value obtained for the total magnetic moment is 1.0712 μB/atom. The value obtained for the density of states at the Fermi level is 0.366 states/eV/atom. Its space group is P4/mmm, No. 123. The value obtained for the energy of formation from the pure elements is -0.34 eV/atom. The value obtained for the total energy is -47.828 eV/atom.


# 5
Y2TcHg: single point on PBEsol structure, SCAN.

Structure (POSCAR):
```
Y2TcHg
1.0
-2.8412 -1.1495 1.4110
-1.5244 -2.7330 -1.2616
3.6656 -6.8290 5.8524
Hg Y Tc
1 2 1
Cartesian
-0.5115 -5.1812 2.8179
-0.6558 -7.8922 4.3530
-4.1000 -4.1696 0.4503
-0.1483 -2.7067 1.5307
```

The value obtained for the total magnetic moment is 0.1527 μB/atom. The value obtained for the density of states at the Fermi level is 0.735 states/eV/atom. Its space group is R3m, No. 160. The value obtained for the energy of formation from the pure elements is 0.28 eV/atom. The value obtained for the total energy is -39.451 eV/atom.


# 6
AsP2Cl2: single point on PBEsol structure, SCAN.

Structure (POSCAR):
```
AsP2Cl2
1.0
-0.4180 -2.1837 -2.2889
1.8534 -2.0401 1.6079
-8.6932 -1.3685 5.1174
P As Cl
2 1 2
Cartesian
-4.1968 -2.8321 1.2440
-3.0611 -2.7603 3.1924
0.0000 0.0000 0.0000
-0.6120 -2.6922 0.4559
-6.6459 -2.9002 3.9806
```

The value obtained for the total magnetic moment is 0.0000 μB/atom. The value obtained for the density of states at the Fermi level is 0.512 states/eV/atom. The calculation puts the uncorrected formation energy at 7.16 kcal/mol of atoms. Its space group is I4/mmm, No. 139. The value obtained for the total energy is -11.078 eV/atom.


# 7
CaCr2P2O10: single point on PBEsol structure, SCAN.

Structure (POSCAR):
```
CaCr2P2O10
1.0
-6.2781 -2.2532 -0.4284
3.2694 -1.6752 5.5839
-1.0974 8.5484 0.9208
O P Cr Ca
20 4 4 2
Cartesian
-1.3769 1.2912 1.8874
0.5163 -0.2003 4.3319
-0.3556 3.5185 2.5841
-3.8178 1.0138 3.6074
-4.5675 -1.0899 2.2254
-1.0451 -2.7038 4.8690
-4.6327 5.2718 3.9002
-1.6299 1.2299 4.8277
-0.0060 5.0998 4.6516
-4.1552 5.4304 0.9438
-4.9025 3.3359 2.1570
-3.9774 0.9950 0.9131
-0.7577 5.9031 0.8105
-2.4091 3.4778 1.1335
-1.9669 -0.7937 3.1997
-2.8866 3.3192 4.0899
-0.4081 7.4844 2.8780
-3.1912 -1.2736 5.3649
-2.1265 -0.8125 0.5055
-2.1393 5.4137 2.8766
1.4184 -0.2902 3.0828
-3.0216 1.8752 4.6179
-1.0846 2.7447 1.4585
-0.7508 5.1992 5.9997
-3.5209 4.3748 2.5168
-1.3375 -0.7369 4.8484
-0.3818 5.5014 2.7311
-2.9722 0.1006 2.0564
0.0000 0.0000 0.0000
0.3338 2.4545 4.5413
```

The value obtained for the total magnetic moment is 0.2667 μB/atom. The value obtained for the density of states at the Fermi level is 0.064 states/eV/atom. The calculation puts the uncorrected formation energy at -59.56 kcal/mol of atoms. Its space group is Fddd, No. 70. The value obtained for the total energy is -11.219 eV/atom.


# 8
SiNi2Au: single point on PBEsol structure, SCAN.

Structure (POSCAR):
```
SiNi2Au
1.0
-1.1449 -1.6791 -1.9218
-0.2882 -2.9307 2.7323
-4.0386 1.4550 1.1346
Au Si Ni
1 1 2
Cartesian
-1.5331 -2.0107 0.6346
-2.9615 0.0212 -0.2897
-2.9403 -0.4579 2.1517
-0.0560 0.0202 0.0157
```

The value obtained for the total magnetic moment is 0.0000 μB/atom. The value obtained for the density of states at the Fermi level is 0.601 states/eV/atom. The calculation puts the uncorrected formation energy at -3.50 kcal/mol of atoms. Its space group is Pmm2, No. 25. The value obtained for the total energy is -28.032 eV/atom.